DFT (PBE-GGA) results for crystalline TiVCuS4 at its relaxed geometry.

Output
The density of states at the Fermi level is 0.53 states/eV per atom. The total energy comes out at -177.529 eV/cell. The value obtained for the formation energy without anion corrections is -93.2 kJ/mol of atoms. Its volume is 17.6 Å³/atom.

Cell: 7.033 7.067 9.911 Å, 90.00 90.00 90.00°
Space group Imma (No. 74)
Symmetry-distinct sites (fractional):
Ti: 0.250 0.250 0.250
V: 0.000 0.000 0.000
Cu: 0.000 0.250 0.623
S: 0.000 0.010 0.245
S: 0.235 0.250 0.003



DFT (PBE-GGA) results for crystalline Y2TiCuS5 at its relaxed geometry.

Output
The density of states at the Fermi level is 0.27 states/eV per atom. The total energy comes out at -237.308 eV/cell. The value obtained for the formation energy without anion corrections is -147.6 kJ/mol of atoms. Its volume is 18.8 Å³/atom.

Cell: 3.724 16.212 11.181 Å, 90.00 90.00 90.00°
Space group Cmc2_1 (No. 36)
Symmetry-distinct sites (fractional):
Y: 0.000 0.114 0.000
Y: 0.000 0.129 0.616
Ti: 0.000 0.191 0.322
Cu: 0.000 0.434 0.755
S: 0.000 0.050 0.365
S: 0.000 0.287 0.974
S: 0.000 0.305 0.666
S: 0.000 0.351 0.313
S: 0.000 0.497 0.082